[1]
## GaSb3 (meta-GGA SCAN)

Data for a crystal of GaSb3 relaxed with PBEsol.

Summary:
The raw formation energy comes out at 263 meV per atom. Its symmetry is No. 225.

abc: 5.152 5.152 5.152
angles: 60.00 60.00 60.00
Fractional coordinates of all 4 atoms:
Ga: 0.000 0.000 0.000
Sb: 0.250 0.250 0.250
Sb: 0.500 0.500 0.500
Sb: 0.750 0.750 0.750

=====

[2]
## KRbGaMo2 (meta-GGA SCAN)

Data for a crystal of KRbGaMo2 relaxed with PBEsol.

Summary:
For the formation energy, the calculation gives 1275 meV per atom. Its symmetry is No. 123.

abc: 5.027 5.027 6.099
angles: 90.00 90.00 90.00
Fractional coordinates of all 5 atoms:
K: 0.000 0.000 0.000
Rb: 0.500 0.500 0.000
Ga: 0.000 0.000 0.500
Mo: 0.000 0.500 0.500
Mo: 0.500 0.000 0.500

=====

[3]
## KCa4Cl (meta-GGA SCAN)

Data for a crystal of KCa4Cl relaxed with PBEsol.

Summary:
The raw formation energy comes out at 54 meV per atom. Its symmetry is No. 216.

abc: 7.307 7.307 7.307
angles: 60.00 60.00 60.00
Fractional coordinates of all 6 atoms:
K: 0.000 0.000 0.000
Ca: 0.374 0.374 0.374
Ca: 0.374 0.374 0.877
Ca: 0.374 0.877 0.374
Ca: 0.877 0.374 0.374
Cl: 0.750 0.750 0.750

=====

[4]
## ZnSb2Rh (meta-GGA SCAN)

Data for a crystal of ZnSb2Rh relaxed with PBEsol.

Summary:
The raw formation energy comes out at -129 meV per atom. Its symmetry is No. 8.

abc: 4.475 4.475 6.227
angles: 106.77 106.77 44.82
Fractional coordinates of all 4 atoms:
Zn: 0.000 0.000 0.000
Sb: 0.506 0.506 0.635
Sb: 0.771 0.771 0.211
Rh: 0.256 0.256 0.855

=====

[5]
## Tl2CrPb (meta-GGA SCAN)

Data for a crystal of Tl2CrPb relaxed with PBEsol.

Summary:
The energy above the lowest structure with this stoichiometry is 0.0 meV per atom. For the formation energy, the calculation gives 238 meV per atom. Its symmetry is No. 71.

abc: 6.263 6.263 6.263
angles: 148.75 129.61 60.50
Fractional coordinates of all 4 atoms:
Tl: 0.220 0.220 0.000
Tl: 0.780 0.780 0.000
Cr: 0.000 0.500 0.500
Pb: 0.500 0.000 0.500

=====

[6]
## PbSN3 (meta-GGA SCAN)

Data for a crystal of PbSN3 relaxed with PBEsol.

Summary:
The raw formation energy comes out at 1686 meV per atom. Its symmetry is No. 221.

abc: 3.730 3.730 3.730
angles: 90.00 90.00 90.00
Fractional coordinates of all 5 atoms:
Pb: 0.000 0.000 0.000
S: 0.500 0.500 0.500
N: 0.000 0.500 0.500
N: 0.500 0.000 0.500
N: 0.500 0.500 0.000

=====

Results for energy: -31.77 -21.76 -9.11 -30.58 -59.48 -20.97 (in eV/atom, following the order of the records).